A relaxed structure of CuMoN3, computed with GGA-PBE.

```
CuMoN3
1.0
-2.5043 2.3585 1.1791
-1.3831 -2.5594 2.1819
2.2449 1.0541 2.6596
N Cu Mo
3 1 1
direct
0.0000 0.0000 0.5000
0.0000 0.5000 0.0000
0.5000 0.0000 0.0000
0.0000 0.0000 0.0000
0.5000 0.5000 0.5000
```

Values from the calculation:
The formation energy from raw total energies comes out at 1.70 eV per atom. As for the volume: 9.6 A^3/atom. The value obtained for the spin magnetization is 0.00 μB per formula unit. As for the space group: Pm-3m, No. 221. The total DFT energy (no corrections) comes out at -31.383 eV for the cell shown.